Entry 1:
VASP calculation (PBE) on a relaxed structure of YCd2Fe2.

Summary:
The space-group type is No. 139. The calculation puts the magnetization at 4.487 Bohr magnetons per cell. Its energy is -24.0 eV for the cell shown. For the formation energy from the elements, the calculation gives 24 kJ per mole of atoms.

```
data_YCd2Fe2
_symmetry_space_group_name_H-M 'P 1'
_symmetry_Int_Tables_number 1
_cell_length_a 3.861
_cell_length_b 3.861
_cell_length_c 7.199
_cell_angle_alpha 74.44
_cell_angle_beta 74.44
_cell_angle_gamma 90.00
loop_
_symmetry_equiv_pos_as_xyz
'x,y,z'
loop_
_atom_site_label
_atom_site_type_symbol
_atom_site_fract_x
_atom_site_fract_y
_atom_site_fract_z
Fe1 Fe 0.750 0.250 0.500
Fe2 Fe 0.250 0.750 0.500
Cd1 Cd 0.389 0.389 0.221
Cd2 Cd 0.611 0.611 0.779
Y1 Y 0.000 0.000 0.000
```

---

Entry 2:
VASP calculation (PBE) on a relaxed structure of YCd2Fe.

Summary:
The space-group type is No. 71. The calculation puts the magnetization at 1.699 Bohr magnetons per cell. Its energy is -16.4 eV for the cell shown. For the formation energy from the elements, the calculation gives 8 kJ per mole of atoms.

```
data_YCd2Fe
_symmetry_space_group_name_H-M 'P 1'
_symmetry_Int_Tables_number 1
_cell_length_a 5.934
_cell_length_b 5.934
_cell_length_c 4.798
_cell_angle_alpha 66.22
_cell_angle_beta 66.22
_cell_angle_gamma 33.06
loop_
_symmetry_equiv_pos_as_xyz
'x,y,z'
loop_
_atom_site_label
_atom_site_type_symbol
_atom_site_fract_x
_atom_site_fract_y
_atom_site_fract_z
Cd1 Cd 0.966 0.966 0.034
Cd2 Cd 0.534 0.534 0.466
Fe1 Fe 0.250 0.250 0.250
Y1 Y 0.750 0.750 0.750
```

---

Entry 3:
VASP calculation (PBE) on a relaxed structure of YCd2Fe.

Summary:
The space-group type is No. 6. The calculation puts the magnetization at 1.730 Bohr magnetons per cell. Its energy is -16.4 eV for the cell shown. For the formation energy from the elements, the calculation gives 10 kJ per mole of atoms.

```
data_YCd2Fe
_symmetry_space_group_name_H-M 'P 1'
_symmetry_Int_Tables_number 1
_cell_length_a 4.067
_cell_length_b 3.582
_cell_length_c 6.263
_cell_angle_alpha 73.54
_cell_angle_beta 90.00
_cell_angle_gamma 90.00
loop_
_symmetry_equiv_pos_as_xyz
'x,y,z'
loop_
_atom_site_label
_atom_site_type_symbol
_atom_site_fract_x
_atom_site_fract_y
_atom_site_fract_z
Cd1 Cd 0.500 0.440 0.245
Cd2 Cd 0.000 0.054 0.019
Y1 Y 0.500 0.714 0.697
Fe1 Fe 0.000 0.292 0.540
```

---

Entry 4:
VASP calculation (PBE) on a relaxed structure of Y6CdFe2.

Summary:
The space-group type is No. 71. The calculation puts the magnetization at 3.146 Bohr magnetons per cell. Its energy is -115.1 eV for the cell shown. For the formation energy from the elements, the calculation gives -10 kJ per mole of atoms.

```
data_Y6CdFe2
_symmetry_space_group_name_H-M 'P 1'
_symmetry_Int_Tables_number 1
_cell_length_a 8.445
_cell_length_b 8.445
_cell_length_c 8.445
_cell_angle_alpha 106.79
_cell_angle_beta 110.04
_cell_angle_gamma 111.62
loop_
_symmetry_equiv_pos_as_xyz
'x,y,z'
loop_
_atom_site_label
_atom_site_type_symbol
_atom_site_fract_x
_atom_site_fract_y
_atom_site_fract_z
Fe1 Fe 0.613 0.000 0.613
Fe2 Fe 0.500 0.608 0.108
Fe3 Fe 0.500 0.392 0.892
Fe4 Fe 0.387 0.000 0.387
Y1 Y 0.703 0.015 0.312
Y2 Y 0.788 0.227 0.015
Y3 Y 0.897 0.710 0.188
Y4 Y 0.522 0.710 0.812
Y5 Y 0.478 0.290 0.188
Y6 Y 0.212 0.773 0.985
Y7 Y 0.703 0.391 0.688
Y8 Y 0.297 0.609 0.312
Y9 Y 0.103 0.290 0.812
Y10 Y 0.212 0.227 0.440
Y11 Y 0.788 0.773 0.560
Y12 Y 0.297 0.985 0.688
Cd1 Cd 0.000 0.000 0.000
Cd2 Cd 0.000 0.500 0.500
```

---

What is the formula in the second record?
YCd2Fe

---

What is the energy in the second record?
-16.4 eV for the cell shown

---

What is the magnetization in the second record?
1.699 Bohr magnetons per cell